Record 1
## Lu3InN (PBE)

Data for a geometry-optimized Lu3InN structure. Values from VASP.

## Properties
DOS at the Fermi energy   2.252 states/eV per cell
Spin magnetization   0.00 μB per formula unit
Energy relative to the elements, uncorrected   -1019 meV/atom

```
&SYSTEM
  ibrav = 0, nat = 5, ntyp = 3
/
ATOMIC_SPECIES
Lu 174.97 Lu.upf
In 114.82 In.upf
N 14.01 N.upf
CELL_PARAMETERS angstrom
4.687 0.000 0.000
0.000 4.687 0.000
0.000 0.000 4.687
ATOMIC_POSITIONS crystal
Lu 0.000 0.000 0.500
Lu 0.000 0.500 0.000
Lu 0.500 0.000 0.000
In 0.500 0.500 0.500
N 0.000 0.000 0.000
```

=====

Record 2
## La8OsPt2Rh (PBE)

Data for a geometry-optimized La8OsPt2Rh structure. Values from VASP.

## Properties
DOS at the Fermi energy   11.462 states/eV per cell
Spin magnetization   0.00 μB per formula unit
ΔH_f (0 K)   -0.574 eV per atom

```
&SYSTEM
  ibrav = 0, nat = 12, ntyp = 4
/
ATOMIC_SPECIES
La 138.91 La.upf
Os 190.23 Os.upf
Pt 195.08 Pt.upf
Rh 102.91 Rh.upf
CELL_PARAMETERS angstrom
6.842 0.000 0.000
0.000 8.614 0.000
-0.156 0.000 6.887
ATOMIC_POSITIONS crystal
La 0.155 0.000 0.246
La 0.159 0.500 0.246
La 0.342 0.254 0.724
La 0.342 0.746 0.724
La 0.658 0.254 0.276
La 0.658 0.746 0.276
La 0.841 0.500 0.754
La 0.845 0.000 0.754
Os 0.500 0.500 0.500
Pt 0.000 0.249 0.000
Pt 0.000 0.751 0.000
Rh 0.500 0.000 0.500
```

=====

Record 3
## YAl2Sb (PBE)

Data for a geometry-optimized YAl2Sb structure. Values from VASP.

## Properties
DOS at the Fermi energy   4.667 states/eV per cell
Spin magnetization   0.00 μB per formula unit
Energy relative to the elements, uncorrected   -146 meV/atom

```
&SYSTEM
  ibrav = 0, nat = 8, ntyp = 3
/
ATOMIC_SPECIES
Y 88.91 Y.upf
Al 26.98 Al.upf
Sb 121.76 Sb.upf
CELL_PARAMETERS angstrom
-4.037 4.037 3.038
4.037 -4.037 3.038
4.037 4.037 -3.038
ATOMIC_POSITIONS crystal
Y 0.000 0.000 0.000
Y 0.750 0.250 0.500
Al 0.154 0.625 0.029
Al 0.375 0.404 0.529
Al 0.596 0.125 0.971
Al 0.875 0.846 0.471
Sb 0.250 0.750 0.500
Sb 0.500 0.500 0.000
```

=====

Record 4
## Ti3Ni2Rh (PBE)

Data for a geometry-optimized Ti3Ni2Rh structure. Values from VASP.

## Properties
DOS at the Fermi energy   7.048 states/eV per cell
Spin magnetization   0.00 μB per formula unit
Offset from the most stable computed form   0.41 kcal/mol of atoms
ΔH_f (0 K)   -0.484 eV per atom

```
&SYSTEM
  ibrav = 0, nat = 6, ntyp = 3
/
ATOMIC_SPECIES
Ti 47.87 Ti.upf
Ni 58.69 Ni.upf
Rh 102.91 Rh.upf
CELL_PARAMETERS angstrom
3.049 0.000 0.000
0.000 3.049 0.000
0.000 0.000 9.111
ATOMIC_POSITIONS crystal
Ti 0.000 0.000 0.000
Ti 0.000 0.000 0.323
Ti 0.000 0.000 0.677
Ni 0.500 0.500 0.165
Ni 0.500 0.500 0.835
Rh 0.500 0.500 0.500
```